## one
CoBiP2Cl after structural relaxation. Source: Alexandria via LeMat-Bulk, functional PBE-GGA.

abc: 4.4604 4.4604 4.7654
angles: 90.00 90.00 90.00
Closest atoms and distances in Å follow each position.
Atoms (fractional coordinates):
Co 0.0000 0.0000 0.0000  4 P 2.23, 2 Cl 2.38
Bi 0.5000 0.5000 0.5000  4 Cl 3.15, 8 P 3.26
P 0.0000 0.5000 0.0000  2 Co 2.23
P 0.5000 0.0000 0.0000  2 Co 2.23
Cl 0.0000 0.0000 0.5000  2 Co 2.38

D(E_F) in states/eV/cell: 6.587
Calculated volume in Å³/atom: 18.962
Symmetry: No. 123
Total magnetic moment in μB per cell: 0.0

---

## two
CoBiP2Cl after structural relaxation. Source: Alexandria via LeMat-Bulk, functional PBE-GGA.

abc: 5.3021 5.3021 5.2582
angles: 90.00 90.00 90.00
Closest atoms and distances in Å follow each position.
Atoms (fractional coordinates):
Co 0.0000 0.0000 0.0000  8 P 3.73, 4 Cl 3.75
Bi 0.5000 0.5000 0.5000  2 Cl 2.63, 4 P 2.65
P 0.0000 0.5000 0.5000  2 Bi 2.65
P 0.5000 0.0000 0.5000  2 Bi 2.65
Cl 0.5000 0.5000 0.0000  2 Bi 2.63

D(E_F) in states/eV/cell: 5.566
Calculated volume in Å³/atom: 29.564
Symmetry: No. 123
Total magnetic moment in μB per cell: 2.4

---

On energetic grounds, one is preferred over the next structure by 1084 meV per atom.